CsLaPaSe4: optimized geometry, PBE.

abc: 9.1540 9.1540 9.1540
angles: 121.80 117.69 90.48
Closest atoms and distances in Å follow each position.
Positions (direct):
Cs1 0.3855 0.1355 0.2500  4 Se 3.33-3.34
Cs2 0.6145 0.8645 0.7500  4 Se 3.33-3.34
La1 0.0000 0.5000 0.5000  6 Se 3.05-3.07
La2 0.5000 0.5000 0.0000  6 Se 3.05-3.07
Pa1 0.0000 0.0000 0.5000  6 Se 2.87-2.90
Pa2 0.0000 0.5000 0.0000  6 Se 2.87-2.90
Se1 0.1798 0.7345 0.4453  2 Pa 2.90, 1 La 3.07
Se2 0.2108 0.2655 0.9453  2 Pa 2.90, 1 La 3.07
Se3 0.2208 0.2583 0.5375  1 Pa 2.87, 2 La 3.05
Se4 0.2208 0.6833 0.9625  1 Pa 2.87, 2 La 3.05
Se5 0.7792 0.3167 0.0375  1 Pa 2.87, 2 La 3.05
Se6 0.7792 0.7417 0.4625  1 Pa 2.87, 2 La 3.05
Se7 0.7892 0.7345 0.0547  2 Pa 2.90, 1 La 3.07
Se8 0.8202 0.2655 0.5547  2 Pa 2.90, 1 La 3.07

SG: Imma
E_tot: -40.02 eV per formula unit

---

Cs2LaI4: optimized geometry, PBE.

abc: 10.6866 10.6866 10.6866
angles: 145.65 145.65 49.36
Closest atoms and distances in Å follow each position.
Positions (direct):
Cs1 0.1362 0.1362 0.0000  5 I 3.83-4.12
Cs2 0.8638 0.8638 0.0000  5 I 3.83-4.12
La1 0.5000 0.5000 0.0000  6 I 3.16-3.24
I1 0.0000 0.5000 0.5000  2 La 3.16
I2 0.3332 0.3332 0.0000  1 La 3.24
I3 0.5000 0.0000 0.5000  2 La 3.16
I4 0.6668 0.6668 0.0000  1 La 3.24

SG: I4/mmm
E_tot: -22.71 eV per formula unit
energy above the most stable polymorph in this dataset: 0.003 eV per atom

---

Ho4Ga3Rh: optimized geometry, PBE.

abc: 3.9007 4.2952 10.9088
angles: 90.00 90.00 90.00
Closest atoms and distances in Å follow each position.
Positions (direct):
Ho1 0.0000 0.0000 0.0000  5 Ga 2.96-3.20, 2 Rh 2.97
Ho2 0.0000 0.5000 0.2697  4 Rh 2.99, 3 Ga 3.04-3.12
Ho3 0.5000 0.0000 0.4731  1 Rh 2.92, 6 Ga 3.04-3.21
Ho4 0.5000 0.5000 0.7801  7 Ga 3.01-3.13
Ga1 0.0000 0.0000 0.7063  2 Ga 2.70, 4 Ho 3.01
Ga2 0.0000 0.5000 0.5559  2 Ga 2.70
Ga3 0.5000 0.5000 0.0558  2 Rh 2.69, 5 Ho 2.96-3.01
Rh1 0.5000 0.0000 0.2050  2 Ga 2.69, 7 Ho 2.92-2.99

SG: Pmm2
E_tot: -40.14 eV per formula unit
DFT formation energy: -0.6750 eV/atom

---

CaAl2SiOs: optimized geometry, PBE.

abc: 4.7987 4.7987 4.5123
angles: 90.00 90.00 90.00
Closest atoms and distances in Å follow each position.
Positions (direct):
Ca1 0.0000 0.0000 0.0000  8 Al 3.29, 4 Os 3.39
Al1 0.0000 0.5000 0.5000  2 Si 2.40
Al2 0.5000 0.0000 0.5000  2 Si 2.40
Si1 0.5000 0.5000 0.5000  2 Os 2.26, 4 Al 2.40
Os1 0.5000 0.5000 0.0000  2 Si 2.26

SG: P4/mmm
E_tot: -24.07 eV per formula unit

---

KTl2ZnSb2: optimized geometry, PBE.

abc: 4.9332 8.9210 8.3487
angles: 90.00 90.00 90.00
Closest atoms and distances in Å follow each position.
Positions (direct):
K1 0.0000 0.0736 0.0000  5 Sb 3.38-3.51, 2 Zn 3.44, 1 Tl 3.59
K2 0.0000 0.9264 0.5000  5 Sb 3.38-3.51, 2 Zn 3.44, 1 Tl 3.59
Tl1 0.0000 0.3378 0.3249  4 Sb 3.10-3.21
Tl2 0.0000 0.6622 0.8249  4 Sb 3.10-3.21
Tl3 0.5000 0.4237 0.0065  4 Tl 3.59-3.71, 5 Sb 3.61-3.70, 2 Zn 3.83-3.88, 2 K 3.98
Tl4 0.5000 0.5763 0.5065  4 Tl 3.59-3.71, 5 Sb 3.61-3.70, 2 Zn 3.83-3.88, 2 K 3.98
Zn1 0.5000 0.1644 0.6339  4 Sb 2.86-2.89
Zn2 0.5000 0.8356 0.1339  4 Sb 2.86-2.89
Sb1 0.0000 0.3230 0.6954  2 Zn 2.89, 2 Tl 3.10-3.21
Sb2 0.0000 0.6770 0.1954  2 Zn 2.89, 2 Tl 3.10-3.21
Sb3 0.5000 0.1213 0.2943  2 Zn 2.86-2.88, 2 Tl 3.14
Sb4 0.5000 0.8787 0.7943  2 Zn 2.86-2.88, 2 Tl 3.14

SG: Pmc2_1
E_tot: -16.04 eV per formula unit

---

ZrNi2HRu: optimized geometry, PBE.

abc: 3.7489 3.7489 4.1772
angles: 90.00 90.00 90.00
Closest atoms and distances in Å follow each position.
Positions (direct):
Zr1 0.0000 0.0000 0.0000  2 H 2.09
Ni1 0.0000 0.5000 0.5000  2 H 1.87
Ni2 0.5000 0.0000 0.5000  2 H 1.87
H1 0.0000 0.0000 0.5000  4 Ni 1.87, 2 Zr 2.09
Ru1 0.5000 0.5000 0.0000  4 Zr 2.65, 8 Ni 2.81

SG: P4/mmm
E_tot: -34.02 eV per formula unit
energy above the most stable polymorph in this dataset: 0.077 eV per atom

---

Please write out number 6 again, unchanged.
ZrNi2HRu: optimized geometry, PBE.

abc: 3.7489 3.7489 4.1772
angles: 90.00 90.00 90.00
Closest atoms and distances in Å follow each position.
Positions (direct):
Zr1 0.0000 0.0000 0.0000  2 H 2.09
Ni1 0.0000 0.5000 0.5000  2 H 1.87
Ni2 0.5000 0.0000 0.5000  2 H 1.87
H1 0.0000 0.0000 0.5000  4 Ni 1.87, 2 Zr 2.09
Ru1 0.5000 0.5000 0.0000  4 Zr 2.65, 8 Ni 2.81

SG: P4/mmm
E_tot: -34.02 eV per formula unit
energy above the most stable polymorph in this dataset: 0.077 eV per atom

---

The lowest E_tot belongs to which entry?
Ho4Ga3Rh

---

The lowest E_tot belongs to which entry?
Ho4Ga3Rh